VASP calculation (GGA-PBE) on an optimized crystal structure of Er12ZnCo6.

Lattice parameters (Å, degrees): 13.4054 13.4054 8.5725 90.00 90.00 120.00
Space group R-3 (No. 148, hexagonal axes)
Symmetry-distinct sites (fractional):
Er 0.0386 0.2592 0.4268 [18 per cell]
Er 0.0620 0.1815 0.8310 [18 per cell]
Zn 0.0000 0.0000 0.5000 [3 per cell]
Co 0.0777 0.5025 0.7891 [18 per cell]

The calculation puts the formation enthalpy at 0 K at -10 kJ/mol of atoms. Its crystal system is trigonal. The calculation puts the mass density at 9.06 g/cm3. Its uncorrected energy is -5.29 eV/atom. The density of states at the Fermi level comes out at 13.54 states/eV/f.u. The value obtained for the energy above the most stable polymorph in this dataset is 124.3 meV per atom.

***

VASP calculation (GGA-PBE) on an optimized crystal structure of Er12Zn6Co.

Lattice parameters (Å, degrees): 11.5007 11.5007 12.7784 90.00 90.00 120.00
Space group R-3 (No. 148, hexagonal axes)
Symmetry-distinct sites (fractional):
Er 0.0320 0.8424 0.3770 [18 per cell]
Er 0.0368 0.1916 0.8908 [18 per cell]
Zn 0.0040 0.3979 0.7564 [18 per cell]
Co 0.0000 0.0000 0.5000 [3 per cell]

The calculation puts the formation enthalpy at 0 K at -11 kJ/mol of atoms. Its crystal system is trigonal. The calculation puts the mass density at 8.37 g/cm3. Its uncorrected energy is -3.78 eV/atom. The density of states at the Fermi level comes out at 16.41 states/eV/f.u.

***

VASP calculation (GGA-PBE) on an optimized crystal structure of Er3ZnCo3.

Lattice parameters (Å, degrees): 4.079 9.785 12.821 90.00 90.00 90.00
Space group Cmcm (No. 63)
Symmetry-distinct sites (fractional):
Er 0.000 0.009 0.250 [4 per cell]
Er 0.000 0.298 0.103 [8 per cell]
Zn 0.000 0.000 0.000 [4 per cell]
Co 0.000 0.289 0.750 [4 per cell]
Co 0.000 0.411 0.597 [8 per cell]

The calculation puts the formation enthalpy at 0 K at -29 kJ/mol of atoms. Its crystal system is orthorhombic. The calculation puts the mass density at 9.66 g/cm3. Its uncorrected energy is -5.49 eV/atom. The density of states at the Fermi level comes out at 5.97 states/eV/f.u.

***

VASP calculation (GGA-PBE) on an optimized crystal structure of ErZn4Co.

Lattice parameters (Å, degrees): 7.532 3.921 6.677 90.00 90.00 90.00
Space group Pmma (No. 51)
Symmetry-distinct sites (fractional):
Er 0.250 0.000 0.106 [2 per cell]
Zn 0.000 0.000 0.500 [2 per cell]
Zn 0.059 0.500 0.807 [4 per cell]
Zn 0.250 0.500 0.457 [2 per cell]
Co 0.250 0.000 0.715 [2 per cell]

The calculation puts the formation enthalpy at 0 K at -22 kJ/mol of atoms. Its crystal system is orthorhombic. The calculation puts the mass density at 8.22 g/cm3. Its uncorrected energy is -3.02 eV/atom. The density of states at the Fermi level comes out at 4.28 states/eV/f.u. The value obtained for the energy above the most stable polymorph in this dataset is 0.0 meV per atom.

***

VASP calculation (GGA-PBE) on an optimized crystal structure of ErZn2Co4.

Lattice parameters (Å, degrees): 4.919 6.289 6.301 90.00 90.00 90.00
Space group Immm (No. 71)
Symmetry-distinct sites (fractional):
Er 0.000 0.000 0.000 [2 per cell]
Zn 0.250 0.000 0.500 [4 per cell]
Co 0.000 0.316 0.317 [8 per cell]

The calculation puts the formation enthalpy at 0 K at -9 kJ/mol of atoms. Its crystal system is orthorhombic. The calculation puts the mass density at 9.10 g/cm3. Its uncorrected energy is -5.17 eV/atom. The density of states at the Fermi level comes out at 6.70 states/eV/f.u.

***

VASP calculation (GGA-PBE) on an optimized crystal structure of ErZn4Co.

Lattice parameters (Å, degrees): 7.189 7.189 7.189 90.00 90.00 90.00
Space group F-43m (No. 216)
Symmetry-distinct sites (fractional):
Er 0.000 0.000 0.000 [4 per cell]
Zn 0.124 0.124 0.624 [16 per cell]
Co 0.250 0.250 0.250 [4 per cell]

The calculation puts the formation enthalpy at 0 K at -18 kJ/mol of atoms. Its crystal system is cubic. The calculation puts the mass density at 8.72 g/cm3. Its uncorrected energy is -2.98 eV/atom. The density of states at the Fermi level comes out at 0.01 states/eV/f.u. The value obtained for the energy above the most stable polymorph in this dataset is 42.1 meV per atom.

***

VASP calculation (GGA-PBE) on an optimized crystal structure of ErZn9Co2.

Lattice parameters (Å, degrees): 10.308 10.308 6.747 90.00 90.00 90.00
Space group I4_1/amd (No. 141, origin choice 2)
Symmetry-distinct sites (fractional):
Er 0.000 0.250 0.375 [4 per cell]
Zn 0.000 0.250 0.875 [4 per cell]
Zn 0.121 0.046 0.686 [32 per cell]
Co 0.000 0.000 0.000 [8 per cell]

The calculation puts the formation enthalpy at 0 K at -14 kJ/mol of atoms. Its crystal system is tetragonal. The calculation puts the mass density at 8.10 g/cm3. Its uncorrected energy is -2.67 eV/atom. The density of states at the Fermi level comes out at 8.98 states/eV/f.u.

***

VASP calculation (GGA-PBE) on an optimized crystal structure of Er6ZnCo2.

Lattice parameters (Å, degrees): 9.161 9.381 9.790 90.00 90.00 90.00
Space group Immm (No. 71)
Symmetry-distinct sites (fractional):
Er 0.000 0.195 0.240 [8 per cell]
Er 0.187 0.500 0.175 [8 per cell]
Er 0.221 0.320 0.500 [8 per cell]
Zn 0.000 0.000 0.000 [2 per cell]
Zn 0.000 0.000 0.500 [2 per cell]
Co 0.000 0.334 0.000 [4 per cell]
Co 0.000 0.500 0.384 [4 per cell]

The calculation puts the formation enthalpy at 0 K at -23 kJ/mol of atoms. Its crystal system is orthorhombic. The calculation puts the mass density at 9.37 g/cm3. Its uncorrected energy is -5.00 eV/atom. The density of states at the Fermi level comes out at 9.75 states/eV/f.u.

***

VASP calculation (GGA-PBE) on an optimized crystal structure of ErZn8Co4.

Lattice parameters (Å, degrees): 8.603 8.603 4.991 90.00 90.00 90.00
Space group I4/mmm (No. 139)
Symmetry-distinct sites (fractional):
Er 0.000 0.000 0.000 [2 per cell]
Zn 0.000 0.224 0.500 [8 per cell]
Zn 0.000 0.338 0.000 [8 per cell]
Co 0.250 0.250 0.250 [8 per cell]

The calculation puts the formation enthalpy at 0 K at -16 kJ/mol of atoms. Its crystal system is tetragonal. The calculation puts the mass density at 8.33 g/cm3. Its uncorrected energy is -3.49 eV/atom. The density of states at the Fermi level comes out at 8.99 states/eV/f.u.

***

VASP calculation (GGA-PBE) on an optimized crystal structure of Er4Zn5Co2.

Lattice parameters (Å, degrees): 6.889 3.660 8.656 90.00 95.14 90.00
Space group P2/m (No. 10)
Symmetry-distinct sites (fractional):
Er 0.172 0.000 0.353 [2 per cell]
Er 0.239 0.000 0.940 [2 per cell]
Zn 0.189 0.500 0.655 [2 per cell]
Zn 0.440 0.500 0.188 [2 per cell]
Zn 0.500 0.500 0.500 [1 per cell]
Co 0.064 0.500 0.135 [2 per cell]

The calculation puts the formation enthalpy at 0 K at -28 kJ/mol of atoms. Its crystal system is monoclinic. The calculation puts the mass density at 8.51 g/cm3. Its uncorrected energy is -3.82 eV/atom. The density of states at the Fermi level comes out at 7.33 states/eV/f.u.

***

VASP calculation (GGA-PBE) on an optimized crystal structure of ErZn10Co2.

Lattice parameters (Å, degrees): 4.956 12.418 12.655 90.00 90.00 90.00
Space group Fmmm (No. 69)
Symmetry-distinct sites (fractional):
Er 0.000 0.000 0.000 [4 per cell]
Zn 0.000 0.112 0.395 [16 per cell]
Zn 0.000 0.181 0.166 [16 per cell]
Zn 0.250 0.000 0.250 [8 per cell]
Co 0.250 0.250 0.000 [8 per cell]

The calculation puts the formation enthalpy at 0 K at -15 kJ/mol of atoms. Its crystal system is orthorhombic. The calculation puts the mass density at 8.01 g/cm3. Its uncorrected energy is -2.58 eV/atom. The density of states at the Fermi level comes out at 5.64 states/eV/f.u.

***

VASP calculation (GGA-PBE) on an optimized crystal structure of Er3Zn2Co.

Lattice parameters (Å, degrees): 11.749 4.336 10.269 90.00 90.00 90.00
Space group Pnma (No. 62)
Symmetry-distinct sites (fractional):
Er 0.056 0.250 0.116 [4 per cell]
Er 0.108 0.750 0.558 [4 per cell]
Er 0.240 0.250 0.787 [4 per cell]
Zn 0.009 0.750 0.296 [4 per cell]
Zn 0.203 0.750 0.992 [4 per cell]
Co 0.118 0.250 0.367 [4 per cell]

The calculation puts the formation enthalpy at 0 K at -27 kJ/mol of atoms. Its crystal system is orthorhombic. The calculation puts the mass density at 8.78 g/cm3. Its uncorrected energy is -4.17 eV/atom. The density of states at the Fermi level comes out at 5.76 states/eV/f.u.